Record 1
# Ac3Pr2NpN6 PBE optimized geometry
data_Ac3Pr2NpN6
_space_group_name_H-M_alt 'C 1 2/m 1'
_space_group_IT_number 12
_cell_length_a 6.418
_cell_length_b 11.089
_cell_length_c 6.502
_cell_angle_alpha 90.00
_cell_angle_beta 109.03
_cell_angle_gamma 90.00
loop_
_space_group_symop_operation_xyz
'x,y,z'
'-x,-y,-z'
'-x,y,-z'
'x,-y,z'
'x+1/2,y+1/2,z'
'-x+1/2,-y+1/2,-z'
'-x+1/2,y+1/2,-z'
'x+1/2,-y+1/2,z'
loop_
_atom_site_label
_atom_site_type_symbol
_atom_site_fract_x
_atom_site_fract_y
_atom_site_fract_z
Ac1 Ac 0.000 0.000 0.000
Ac2 Ac 0.000 0.332 0.000
Pr1 Pr 0.000 0.166 0.500
Np1 Np 0.000 0.500 0.500
N1 N 0.213 0.356 0.706
N2 N 0.222 0.500 0.278
# Fermi-level density of states, states/eV per cell: 9.98
# E_form (uncorrected), eV/atom: -1.16

Record 2
# ScTl2Cu PBE optimized geometry
data_ScTl2Cu
_space_group_name_H-M_alt 'F -4 3 m'
_space_group_IT_number 216
_space_group_name_Hall 'F -4 2 3'
_cell_length_a 7.074
_cell_length_b 7.074
_cell_length_c 7.074
_cell_angle_alpha 90.00
_cell_angle_beta 90.00
_cell_angle_gamma 90.00
loop_
_atom_site_label
_atom_site_type_symbol
_atom_site_fract_x
_atom_site_fract_y
_atom_site_fract_z
Sc1 Sc 0.000 0.000 0.000
Tl1 Tl 0.000 0.000 0.500
Tl2 Tl 0.250 0.250 0.250
Cu1 Cu 0.250 0.250 0.750
# Fermi-level density of states, states/eV per cell: 8.04
# Calculated formation energy, kJ/mol of atoms: 11.6
# Energy above the lowest structure with this stoichiometry, meV/atom: 142

Record 3
# CeErLuPb PBE optimized geometry
data_CeErLuPb
_space_group_name_H-M_alt 'F -4 3 m'
_space_group_IT_number 216
_space_group_name_Hall 'F -4 2 3'
_cell_length_a 7.620
_cell_length_b 7.620
_cell_length_c 7.620
_cell_angle_alpha 90.00
_cell_angle_beta 90.00
_cell_angle_gamma 90.00
loop_
_atom_site_label
_atom_site_type_symbol
_atom_site_fract_x
_atom_site_fract_y
_atom_site_fract_z
Ce1 Ce 0.000 0.000 0.000
Er1 Er 0.250 0.250 0.250
Lu1 Lu 0.250 0.250 0.750
Pb1 Pb 0.000 0.000 0.500
# Fermi-level density of states, states/eV per cell: 33.35
# Calculated formation energy, kJ/mol of atoms: -1.4

Record 4
# MgSc2Br PBE optimized geometry
data_MgSc2Br
_space_group_name_H-M_alt 'P 4 m m'
_space_group_IT_number 99
_cell_length_a 3.358
_cell_length_b 3.358
_cell_length_c 9.377
_cell_angle_alpha 90.00
_cell_angle_beta 90.00
_cell_angle_gamma 90.00
loop_
_space_group_symop_operation_xyz
'x,y,z'
'-y,x,z'
'-x,-y,z'
'y,-x,z'
'-x,y,z'
'y,x,z'
'x,-y,z'
'-y,-x,z'
loop_
_atom_site_label
_atom_site_type_symbol
_atom_site_fract_x
_atom_site_fract_y
_atom_site_fract_z
Mg1 Mg 0.000 0.000 0.000
Sc1 Sc 0.000 0.000 0.464
Sc2 Sc 0.500 0.500 0.229
Br1 Br 0.500 0.500 0.640
# Fermi-level density of states, states/eV per cell: 5.72
# Energy above the lowest structure with this stoichiometry, meV/atom: 5
# E_form (uncorrected), eV/atom: -0.40

Record 5
# AcMg6Ag2 PBE optimized geometry
data_AcMg6Ag2
_space_group_name_H-M_alt 'P 4/m m m'
_space_group_IT_number 123
_space_group_name_Hall '-P 4 2'
_cell_length_a 4.482
_cell_length_b 4.482
_cell_length_c 10.919
_cell_angle_alpha 90.00
_cell_angle_beta 90.00
_cell_angle_gamma 90.00
loop_
_atom_site_label
_atom_site_type_symbol
_atom_site_fract_x
_atom_site_fract_y
_atom_site_fract_z
Ac1 Ac 0.000 0.000 0.000
Mg1 Mg 0.000 0.000 0.500
Mg2 Mg 0.000 0.500 0.288
Mg3 Mg 0.500 0.500 0.500
Ag1 Ag 0.500 0.500 0.130
# Fermi-level density of states, states/eV per cell: 2.77
# Calculated formation energy, kJ/mol of atoms: -15.3
# Energy above the lowest structure with this stoichiometry, meV/atom: 0

Record 6
# MnHgSe PBE optimized geometry
data_MnHgSe
_space_group_name_H-M_alt 'I 4 m m'
_space_group_IT_number 107
_space_group_name_Hall 'I 4 -2'
_cell_length_a 2.966
_cell_length_b 2.966
_cell_length_c 12.892
_cell_angle_alpha 90.00
_cell_angle_beta 90.00
_cell_angle_gamma 90.00
loop_
_atom_site_label
_atom_site_type_symbol
_atom_site_fract_x
_atom_site_fract_y
_atom_site_fract_z
Mn1 Mn 0.000 0.000 0.000
Hg1 Hg 0.000 0.000 0.344
Se1 Se 0.000 0.000 0.596
# Fermi-level density of states, states/eV per cell: 4.04
# Energy above the lowest structure with this stoichiometry, meV/atom: 305
# E_form (uncorrected), eV/atom: 0.15

Record 7
# BaCa2LaSe4 PBE optimized geometry
data_BaCa2LaSe4
_space_group_name_H-M_alt 'P 1 2/m 1'
_space_group_IT_number 10
_cell_length_a 7.535
_cell_length_b 4.346
_cell_length_c 7.593
_cell_angle_alpha 90.00
_cell_angle_beta 109.28
_cell_angle_gamma 90.00
loop_
_space_group_symop_operation_xyz
'x,y,z'
'-x,-y,-z'
'-x,y,-z'
'x,-y,z'
loop_
_atom_site_label
_atom_site_type_symbol
_atom_site_fract_x
_atom_site_fract_y
_atom_site_fract_z
Ba1 Ba 0.000 0.000 0.000
Ca1 Ca 0.500 0.000 0.500
Ca2 Ca 0.500 0.500 0.000
La1 La 0.000 0.500 0.500
Se1 Se 0.263 0.000 0.744
Se2 Se 0.270 0.500 0.270
# Fermi-level density of states, states/eV per cell: 3.04
# E_form (uncorrected), eV/atom: -1.96

Record 8
# Ca4GdB3O10 PBE optimized geometry
data_Ca4GdB3O10
_space_group_name_H-M_alt 'C 1 m 1'
_space_group_IT_number 8
_cell_length_a 8.156
_cell_length_b 16.176
_cell_length_c 3.581
_cell_angle_alpha 90.00
_cell_angle_beta 101.22
_cell_angle_gamma 90.00
loop_
_space_group_symop_operation_xyz
'x,y,z'
'x,-y,z'
'x+1/2,y+1/2,z'
'x+1/2,-y+1/2,z'
loop_
_atom_site_label
_atom_site_type_symbol
_atom_site_fract_x
_atom_site_fract_y
_atom_site_fract_z
Ca1 Ca 0.000 0.113 0.000
Ca2 Ca 0.378 0.181 0.669
Gd1 Gd 0.140 0.500 0.324
B1 B 0.193 0.305 0.248
B2 B 0.266 0.000 0.626
O1 O 0.056 0.357 0.245
O2 O 0.176 0.230 0.058
O3 O 0.180 0.074 0.579
O4 O 0.313 0.500 0.904
O5 O 0.350 0.327 0.445
O6 O 0.440 0.000 0.719
# Fermi-level density of states, states/eV per cell: 0.00
# E_form (uncorrected), eV/atom: -2.99

Record 9
# YAgS2 PBE optimized geometry
data_YAgS2
_space_group_name_H-M_alt 'I -4 2 d'
_space_group_IT_number 122
_space_group_name_Hall 'I -4 2bw'
_cell_length_a 5.848
_cell_length_b 5.848
_cell_length_c 12.685
_cell_angle_alpha 90.00
_cell_angle_beta 90.00
_cell_angle_gamma 90.00
loop_
_atom_site_label
_atom_site_type_symbol
_atom_site_fract_x
_atom_site_fract_y
_atom_site_fract_z
Y1 Y 0.000 0.000 0.000
Ag1 Ag 0.000 0.000 0.500
S1 S 0.247 0.250 0.625
# Fermi-level density of states, states/eV per cell: 0.00
# E_form (uncorrected), eV/atom: -1.17

Record 10
# MnHg2Sb PBE optimized geometry
data_MnHg2Sb
_space_group_name_H-M_alt 'C m m 2'
_space_group_IT_number 35
_cell_length_a 4.461
_cell_length_b 4.502
_cell_length_c 9.203
_cell_angle_alpha 90.00
_cell_angle_beta 90.00
_cell_angle_gamma 90.00
loop_
_space_group_symop_operation_xyz
'x,y,z'
'-x,-y,z'
'-x,y,z'
'x,-y,z'
'x+1/2,y+1/2,z'
'-x+1/2,-y+1/2,z'
'-x+1/2,y+1/2,z'
'x+1/2,-y+1/2,z'
loop_
_atom_site_label
_atom_site_type_symbol
_atom_site_fract_x
_atom_site_fract_y
_atom_site_fract_z
Mn1 Mn 0.000 0.000 0.000
Hg1 Hg 0.000 0.000 0.482
Hg2 Hg 0.000 0.500 0.202
Sb1 Sb 0.000 0.500 0.801
# Fermi-level density of states, states/eV per cell: 5.75
# E_form (uncorrected), eV/atom: 0.20

| no. | calculated total energy (eV per cell) |
| --- | --- |
| 1 | -197.51 |
| 2 | -58.71 |
| 3 | -75.14 |
| 4 | -17.53 |
| 5 | -20.81 |
| 6 | -25.01 |
| 7 | -40.48 |
| 8 | -291.03 |
| 9 | -89.03 |
| 10 | -26.17 |